Compound: Be2TePdPb
Source: the Alexandria database
Functional: GGA-PBEsol
Structure: optimized geometry

Cell and atoms, written as CIF:
```
data_Be2TePdPb
_chemical_formula_sum 'Be2 Te1 Pd1 Pb1'
_cell_length_a 4.459
_cell_length_b 4.459
_cell_length_c 5.375
_cell_angle_alpha 90.00
_cell_angle_beta 90.00
_cell_angle_gamma 90.00
_symmetry_space_group_name_H-M 'P 4/m m m'
_symmetry_Int_Tables_number 123
_symmetry_space_group_name_Hall '-P 4 2'
loop_
_atom_site_label
_atom_site_fract_x
_atom_site_fract_y
_atom_site_fract_z
Be1 0.000 0.500 0.000
Te1 0.000 0.000 0.500
Pd1 0.500 0.500 0.000
Pb1 0.500 0.500 0.500
```

Results
The value obtained for the size of the total moment is 0.000 μB/f.u. The calculation puts the density of states at the Fermi level at 1.97 states/eV/f.u. The calculation puts the formation energy (no corrections) at 385 meV per atom.